KBr3 meta-GGA SCAN single point on PBEsol structure; formation energy from raw total energies = -279 kJ/mol of formula units; D(E_F) = 0.40 states/eV/atom; volume = 130.2 Å³/f.u.; E_tot = -69.60 eV per cell; space group = P4/mmm (123); crystal system = tetragonal
1.0
4.5462 0.0000 0.0000
0.0000 4.5462 0.0000
0.0000 0.0000 6.3002
Br K
3 1
Cartesian
2.2731 2.2731 0.0000
0.0000 0.0000 1.9303
0.0000 0.0000 4.3699
2.2731 2.2731 3.1501


KBr meta-GGA SCAN single point on PBEsol structure; formation energy from raw total energies = -377 kJ/mol of formula units; D(E_F) = 0.00 states/eV/atom; volume = 69.9 Å³/f.u.; E_tot = -31.69 eV per cell; space group = Fm-3m (225); crystal system = cubic
1.0
4.6245 0.0000 0.0000
2.3123 4.0049 0.0000
2.3123 1.3350 3.7759
K Br
1 1
Cartesian
0.0000 0.0000 0.0000
4.6245 2.6700 1.8879


K2LaBr5 meta-GGA SCAN single point on PBEsol structure; formation energy from raw total energies = -1651 kJ/mol of formula units; D(E_F) = 0.00 states/eV/atom; volume = 254.7 Å³/f.u.; E_tot = -696.68 eV per cell; space group = Pnma (62); crystal system = orthorhombic
1.0
-3.6943 -6.3804 4.0271
7.7014 -1.4383 4.7863
-4.2378 8.3392 9.3247
K La Br
8 4 20
Cartesian
-0.4201 -5.3204 7.7995
0.8451 -0.8557 7.2713
4.6232 -1.5613 9.6194
3.9675 5.1354 12.6868
-4.1983 -4.6148 5.4514
0.1893 5.8409 10.3387
-1.0758 1.3762 10.8669
-4.8540 2.0818 8.5188
-0.5155 3.3705 6.2448
-0.5678 3.5068 15.1752
0.2847 -2.8500 11.8933
0.3371 -2.9862 2.9629
-2.8704 2.7508 13.4376
-4.1727 -0.1805 11.0625
-2.6382 4.1229 9.8865
1.6515 -0.7317 1.5254
-1.8214 1.0993 7.6637
5.7794 -2.8166 6.6519
0.0681 0.9678 4.5838
1.1242 2.9815 8.7051
0.9661 3.3906 12.6722
-1.1969 -2.8701 5.4660
-1.3549 -2.4610 9.4330
-6.0102 3.3372 11.4863
1.5907 -0.5788 10.4744
-1.8823 1.2523 16.6128
2.4074 -3.6024 8.2516
4.2640 2.3951 10.6564
3.9420 0.7010 7.0757
2.6396 -2.2303 4.7005
-4.4947 -1.8746 7.4817
-0.2989 -0.4472 13.5543


KLa2Br meta-GGA SCAN single point on PBEsol structure; formation energy from raw total energies = -150 kJ/mol of formula units; D(E_F) = 0.69 states/eV/atom; volume = 133.3 Å³/f.u.; E_tot = -115.55 eV per cell; space group = P2/m (10); crystal system = monoclinic
1.0
3.7151 -0.0356 0.0000
-0.3185 5.6649 0.0000
0.0000 0.0000 6.3389
K La Br
1 2 1
Cartesian
1.8576 -0.0178 3.1695
2.8295 4.0904 0.0000
0.5672 1.5388 0.0000
-0.1592 2.8324 3.1695


KLa2Br meta-GGA SCAN single point on PBEsol structure; formation energy from raw total energies = -194 kJ/mol of formula units; D(E_F) = 0.79 states/eV/atom; volume = 145.9 Å³/f.u.; E_tot = -116.01 eV per cell; space group = R-3m (166); crystal system = trigonal
1.0
3.7149 0.0000 0.0000
1.8575 3.2172 0.0000
1.8575 1.0724 12.2093
La K Br
2 1 1
Cartesian
5.5724 3.2172 8.4212
1.8575 1.0724 3.7881
0.0000 0.0000 0.0000
3.7149 2.1448 6.1046


KLa2PbBr meta-GGA SCAN single point on PBEsol structure; formation energy from raw total energies = -259 kJ/mol of formula units; D(E_F) = 0.76 states/eV/atom; volume = 177.9 Å³/f.u.; E_tot = -192.46 eV per cell; space group = P4/mmm (123); crystal system = tetragonal
1.0
-2.4742 3.1463 3.9017
-4.8316 -0.1978 -2.9044
-1.4968 -4.6581 2.8072
La Br K Pb
2 1 1 1
Cartesian
-0.7484 -2.3291 1.4036
-2.4158 -0.0989 -1.4522
0.0000 0.0000 0.0000
-1.2371 1.5732 1.9508
-4.4013 -0.8548 1.9022


KLiBr2 meta-GGA SCAN single point on PBEsol structure; formation energy from raw total energies = -675 kJ/mol of formula units; D(E_F) = 0.00 states/eV/atom; volume = 128.5 Å³/f.u.; E_tot = -56.64 eV per cell; space group = Cm (8); crystal system = monoclinic
1.0
4.0663 0.0000 0.0000
0.0000 4.5191 0.0311
-2.0331 -0.3821 6.9894
K Br Li
1 2 1
Cartesian
2.0331 1.8417 0.4574
2.0331 3.7392 6.3947
0.0000 1.9754 3.1088
2.0331 2.9772 4.0958


KLi2Br meta-GGA SCAN single point on PBEsol structure; formation energy from raw total energies = -240 kJ/mol of formula units; D(E_F) = 0.21 states/eV/atom; volume = 123.0 Å³/f.u.; E_tot = -35.06 eV per cell; space group = P2/m (10); crystal system = monoclinic
1.0
-1.8421 2.8846 2.6843
-3.9484 -0.4503 -2.2745
-1.6598 -4.5861 3.7893
K Li Br
1 2 1
Cartesian
-1.7509 -0.8507 3.2368
-4.3093 1.9078 0.4214
-1.4812 0.5265 -0.0116
-2.8041 -2.5182 0.7574


KLi2Br meta-GGA SCAN single point on PBEsol structure; formation energy from raw total energies = -292 kJ/mol of formula units; D(E_F) = 0.14 states/eV/atom; volume = 113.5 Å³/f.u.; E_tot = -35.59 eV per cell; space group = Amm2 (38); crystal system = orthorhombic
1.0
-3.6551 -1.8983 -0.2208
0.8274 -1.1512 -3.8000
2.4091 -5.1326 4.2459
Li Br K
2 1 1
Cartesian
-0.7573 -2.8198 -1.7459
0.4487 -0.8748 0.0928
1.7066 -3.1575 -1.1060
0.2154 -5.0478 1.3066


KLiBr2 meta-GGA SCAN single point on PBEsol structure; formation energy from raw total energies = -690 kJ/mol of formula units; D(E_F) = 0.00 states/eV/atom; volume = 116.7 Å³/f.u.; E_tot = -113.58 eV per cell; space group = I-42d (122); crystal system = tetragonal
1.0
6.7370 0.1026 0.1592
-2.7058 6.1706 -0.1592
-2.7058 -2.6931 5.5542
Br Li K
4 2 2
Cartesian
3.0632 0.2475 4.5463
-3.0908 4.2021 2.3567
2.9836 0.9396 0.7540
-0.3053 1.7711 3.4515
-2.7058 1.7388 2.6975
0.6627 -0.4258 4.2055
0.0000 0.0000 0.0000
0.6627 4.0060 1.3487


KLiBr2 meta-GGA SCAN single point on PBEsol structure; formation energy from raw total energies = -672 kJ/mol of formula units; D(E_F) = 0.00 states/eV/atom; volume = 116.3 Å³/f.u.; E_tot = -56.61 eV per cell; space group = Pm (6); crystal system = monoclinic
1.0
-0.4130 5.0992 -1.1084
0.6377 -0.8442 -4.1067
-5.1625 -0.5670 -0.6851
K Br Li
1 2 1
Cartesian
0.2204 2.5510 -3.7725
-2.6715 2.6820 -2.1170
0.0994 0.4364 -1.1103
-2.4737 0.1460 -1.5080


K2LiBr meta-GGA SCAN single point on PBEsol structure; formation energy from raw total energies = -307 kJ/mol of formula units; D(E_F) = 0.36 states/eV/atom; volume = 170.6 Å³/f.u.; E_tot = -41.69 eV per cell; space group = Imm2 (44); crystal system = orthorhombic
1.0
4.0163 0.0000 0.0000
0.0000 4.2724 0.0000
-2.0082 -2.1362 9.9437
Li Br K
1 1 2
Cartesian
0.0000 0.0000 8.8233
2.0082 0.0000 4.0716
0.0000 0.0000 1.4882
0.0000 2.1362 5.5043


What is the E_tot in the seventh record? -56.64 eV per cell


Which formula does entry 8 have? KLi2Br


Which of these has the highest formation energy from raw total energies? number 4


The highest formation energy from raw total energies belongs to which entry? number 4